Record 1
Below is a relaxed structure of Pm3YTe3, with properties calculated at the GGA-PBE level.

Results
Crystal system: orthorhombic
SG: Pnma, No. 62
Total energy (eV for the cell shown): -153.04
E_form (uncorrected) (kcal/mol of atoms): -26.8
M_tot (μB per atom): 0.00

a = 12.539 Å, b = 4.257 Å, c = 16.184 Å
α = 90.00°, β = 90.00°, γ = 90.00°
Atoms (fractional coordinates):
Pm  0.055  0.250  0.095
Pm  0.159  0.750  0.517
Pm  0.239  0.750  0.792
Pm  0.261  0.250  0.292
Pm  0.341  0.250  0.017
Pm  0.445  0.750  0.595
Pm  0.555  0.250  0.405
Pm  0.659  0.750  0.983
Pm  0.739  0.750  0.708
Pm  0.761  0.250  0.208
Pm  0.841  0.250  0.483
Pm  0.945  0.750  0.905
Y  0.006  0.250  0.728
Y  0.494  0.750  0.228
Y  0.506  0.250  0.772
Y  0.994  0.750  0.272
Te  0.061  0.250  0.398
Te  0.127  0.250  0.907
Te  0.238  0.750  0.149
Te  0.262  0.250  0.649
Te  0.373  0.750  0.407
Te  0.439  0.750  0.898
Te  0.561  0.250  0.102
Te  0.627  0.250  0.593
Te  0.738  0.750  0.351
Te  0.762  0.250  0.851
Te  0.873  0.750  0.093
Te  0.939  0.750  0.602

Record 2
Below is a relaxed structure of PmY2Te, with properties calculated at the GGA-PBE level.

Results
Crystal system: trigonal
Relative energy among the computed polymorphs (meV per atom): 128
SG: R3m, No. 160
Total energy (eV for the cell shown): -23.05
E_form (uncorrected) (kcal/mol of atoms): -12.8
M_tot (μB per atom): 0.05

a = 10.124 Å, b = 10.124 Å, c = 10.124 Å
α = 22.30°, β = 22.30°, γ = 22.30°
Atoms (fractional coordinates):
Pm  0.000  0.000  0.000
Y  0.237  0.237  0.237
Y  0.429  0.429  0.429
Te  0.833  0.833  0.833

Record 3
Below is a relaxed structure of PmY2Te, with properties calculated at the GGA-PBE level.

Results
Crystal system: tetragonal
Relative energy among the computed polymorphs (meV per atom): 116
SG: P4/mmm, No. 123
Total energy (eV for the cell shown): -23.10
E_form (uncorrected) (kcal/mol of atoms): -13.1
M_tot (μB per atom): 0.00

a = 3.882 Å, b = 3.882 Å, c = 7.989 Å
α = 90.00°, β = 90.00°, γ = 90.00°
Atoms (fractional coordinates):
Pm  0.000  0.000  0.000
Y  0.500  0.500  0.280
Y  0.500  0.500  0.720
Te  0.000  0.000  0.500

Record 4
Below is a relaxed structure of Pm5Y3Te8, with properties calculated at the GGA-PBE level.

Results
Crystal system: trigonal
SG: R-3m, No. 166
Total energy (eV for the cell shown): -90.16
E_form (uncorrected) (kcal/mol of atoms): -31.5
M_tot (μB per atom): 0.00

a = 8.882 Å, b = 8.882 Å, c = 8.882 Å
α = 59.69°, β = 59.69°, γ = 59.69°
Atoms (fractional coordinates):
Pm  0.000  0.000  0.000
Pm  0.000  0.500  0.500
Pm  0.500  0.000  0.500
Pm  0.500  0.500  0.000
Pm  0.500  0.500  0.500
Y  0.000  0.000  0.500
Y  0.000  0.500  0.000
Y  0.500  0.000  0.000
Te  0.244  0.750  0.750
Te  0.247  0.247  0.247
Te  0.250  0.250  0.756
Te  0.250  0.756  0.250
Te  0.750  0.244  0.750
Te  0.750  0.750  0.244
Te  0.753  0.753  0.753
Te  0.756  0.250  0.250